(1)
First-principles (PBE) data for a relaxed structure of SiNi2Mo, as listed in Alexandria via LeMat-Bulk.

**Crystal system**: monoclinic

Unit cell a=9.075 b=2.671 c=4.387 alpha=90.00 beta=110.12 gamma=90.00
Space group Cm (No. 8)
Symmetry-distinct sites (fractional):
Si  0.000  0.000  0.000 x2
Ni  0.210  0.500  0.287 x2
Ni  0.470  0.000  0.474 x2
Mo  0.245  0.000  0.804 x2



(2)
First-principles (PBE) data for a relaxed structure of SiNi2Mo, as listed in Alexandria via LeMat-Bulk.

**Crystal system**: tetragonal

Unit cell a=3.543 b=3.543 c=17.131 alpha=90.00 beta=90.00 gamma=90.00
Space group I-42d (No. 122)
Symmetry-distinct sites (fractional):
Si  0.000  0.000  0.000 x4
Ni  0.233  0.250  0.125 x8
Mo  0.000  0.000  0.500 x4



no.,uncorrected formation energy (eV/atom),E_tot (eV per atom)
1,-0.20,-7.149
2,0.14,-6.814